Density functional theory data (PBE-GGA) for a relaxed structure of DyAsH.

Results
The volume is 17.2 Å³ per atom. The energy above the most stable polymorph in this dataset comes out at 0.295 eV per atom. As for the calculated density: 7.7 Mg/m³.

Cell: 4.3681 6.0683 7.8005 Å, 90.00 90.00 90.00°
Last column: nearest neighbours and their distance in Å.
Space group I2_12_12_1 (No. 24)
Inequivalent atoms, fractional coordinates:
Dy: 0.2500 0.0060 0.0000 (multiplicity 4)  2 H 2.06
As: 0.2456 0.5000 0.7500 (multiplicity 4)  2 H 2.20
H: 0.0000 0.2500 0.3964 (multiplicity 4)  2 Dy 2.06, 2 As 2.20